# 1
## BaS6Br2 (PBE)

Data for a geometry-optimized BaS6Br2 structure.

```
9
Lattice="4.821 0.000 0.000 -0.907 8.415 0.000 -0.930 -2.331 8.095" Properties=species:S:1:pos:R:3 pbc="T T T"
Ba 0.000 0.000 0.000
S -0.438 1.188 4.308
S -0.430 3.803 2.339
S -0.533 4.170 5.546
S 3.517 1.914 2.549
S 3.414 2.281 5.756
S 3.421 4.897 3.786
Br 1.480 -0.667 6.842
Br 1.503 6.751 1.253
```

Values from the calculation:
For the total energy, the calculation gives -3.95 eV per atom. As for the space group: P-1. The value obtained for the formation energy without anion corrections is -533 kJ/mol of formula units.

# 2
## AcPr2I (PBE)

Data for a geometry-optimized AcPr2I structure.

```
12
Lattice="3.937 0.000 0.000 -1.968 3.409 0.000 0.000 0.000 33.356" Properties=species:S:1:pos:R:3 pbc="T T T"
Ac 0.000 0.000 0.000
Ac 0.000 2.273 22.238
Ac 1.968 1.136 11.119
Pr 0.000 0.000 19.184
Pr 0.000 0.000 25.298
Pr 0.000 2.273 8.065
Pr 0.000 2.273 14.180
Pr 1.968 1.136 3.061
Pr 1.968 1.136 30.303
I 0.000 0.000 5.562
I 0.000 2.273 27.800
I 1.968 1.136 16.681
```

Values from the calculation:
For the total energy, the calculation gives -4.20 eV per atom. As for the space group: R3m. The value obtained for the formation energy without anion corrections is -153 kJ/mol of formula units.

# 3
## Pu3ZrU4P8 (PBE)

Data for a geometry-optimized Pu3ZrU4P8 structure.

```
16
Lattice="6.797 -3.906 0.000 6.797 3.906 0.000 -4.554 0.000 6.426" Properties=species:S:1:pos:R:3 pbc="T T T"
Pu 0.000 0.000 0.000
Pu 3.398 1.953 0.000
Pu 3.398 -1.953 0.000
Zr 6.797 0.000 0.000
U -2.277 0.000 3.213
U 1.121 1.953 3.213
U 1.121 -1.953 3.213
U 4.520 0.000 3.213
P 2.267 0.000 1.633
P 0.029 0.000 4.830
P 3.352 1.910 4.825
P 5.687 1.910 1.601
P 3.352 -1.910 4.825
P 5.687 -1.910 1.601
P 9.011 0.000 1.596
P 6.772 0.000 4.792
```

Values from the calculation:
For the total energy, the calculation gives -9.84 eV per atom. As for the space group: C2/m. The calculation puts the formation enthalpy at 0 K at -1.09 eV/atom.

# 4
## ReRuRh2 (PBE)

Data for a geometry-optimized ReRuRh2 structure.

```
8
Lattice="5.395 0.000 0.000 0.000 7.804 0.000 0.000 0.000 2.708" Properties=species:S:1:pos:R:3 pbc="T T T"
Re 0.000 0.000 0.000
Re 2.698 3.902 0.000
Ru 0.000 3.902 0.000
Ru 2.698 0.000 0.000
Rh 1.349 1.951 1.354
Rh 1.349 5.853 1.354
Rh 4.046 1.951 1.354
Rh 4.046 5.853 1.354
```

Values from the calculation:
For the total energy, the calculation gives -9.10 eV per atom. As for the space group: Cmmm. The calculation puts the formation enthalpy at 0 K at 0.00 eV/atom.